Here is an optimized crystal structure of ScOs2Rh from Alexandria. Energies are from PBE.

Cell lengths 5.515, 5.515, 5.515 Å; angles 149.68, 131.17, 58.57 degrees
Element x y z (fractional)
1 Sc 0.250 0.750 0.500
2 Os 0.754 0.254 0.500
3 Os 0.976 0.976 0.000
4 Rh 0.520 0.520 0.000

- V: 63.25 Å³/cell
- E_form: 0.01 eV per atom
- Raw total energy: -9.0303 eV/atom
- Space-group type: Imm2 (44)
- Offset from the most stable computed form: 171 meV per atom